Ba2BeVO6: optimized geometry, GGA+U.

Results
The total magnetic moment comes out at 2.1 μB per cell. Its space group is R-3m (166). For the total energy, the calculation gives -6.67 eV/atom.

a b c (Å): 5.6612 5.6612 9.7569
angles (deg): 73.14 73.14 60.00
Closest atoms and distances in Å follow each position.
Positions (direct):
1 Ba 0.8701 0.8701 0.3896  12 O 2.84-2.97
2 Ba 0.2860 0.2860 0.1420  12 O 2.80-2.91
3 Ba 0.7140 0.7140 0.8580  12 O 2.80-2.91
4 Ba 0.1299 0.1299 0.6104  12 O 2.84-2.97
5 V 0.4064 0.4064 0.7808  6 O 1.84-2.00
6 V 0.5936 0.5936 0.2192  6 O 1.84-2.00
7 O 0.6021 0.6021 0.6286  1 Be 1.85, 1 V 2.00
8 O 0.1672 0.6021 0.6286  1 Be 1.85, 1 V 2.00
9 O 0.2974 0.7904 0.1218  1 V 1.84, 1 Be 2.00
10 O 0.7904 0.2974 0.1218  1 V 1.84, 1 Be 2.00
11 O 0.6021 0.1672 0.6286  1 Be 1.85, 1 V 2.00
12 O 0.8328 0.3979 0.3714  1 Be 1.85, 1 V 2.00
13 O 0.2096 0.2096 0.8782  1 V 1.84, 1 Be 2.00
14 O 0.7904 0.7904 0.1218  1 V 1.84, 1 Be 2.00
15 O 0.7026 0.2096 0.8782  1 V 1.84, 1 Be 2.00
16 O 0.3979 0.8328 0.3714  1 Be 1.85, 1 V 2.00
17 O 0.3979 0.3979 0.3714  1 Be 1.85, 1 V 2.00
18 O 0.2096 0.7026 0.8782  1 V 1.84, 1 Be 2.00
19 Be 0.5000 0.5000 0.5000  6 O 1.85
20 Be 0.0000 0.0000 0.0000  6 O 2.00